Material: LiFeF3
Method: DFT, PBE+U
State: relaxed

Cell: 3.953 6.428 9.787 Å, 90.00 90.00 90.00°
Fractional coordinates of all 20 atoms:
Li (0.750, 0.668, 0.965)
Li (0.750, 0.168, 0.535)
Li (0.250, 0.832, 0.465)
Li (0.250, 0.332, 0.035)
Fe (0.750, 0.614, 0.269)
Fe (0.750, 0.114, 0.231)
Fe (0.250, 0.886, 0.769)
Fe (0.250, 0.386, 0.731)
F (0.750, 0.906, 0.409)
F (0.750, 0.406, 0.091)
F (0.750, 0.843, 0.118)
F (0.750, 0.847, 0.801)
F (0.750, 0.343, 0.382)
F (0.750, 0.347, 0.699)
F (0.250, 0.653, 0.301)
F (0.250, 0.657, 0.618)
F (0.250, 0.153, 0.199)
F (0.250, 0.157, 0.882)
F (0.250, 0.594, 0.909)
F (0.250, 0.094, 0.591)

Values from the calculation:
Excess energy over the best structure of this formula in the dataset, eV per atom: 0.042
Symmetry: No. 62
Total moment, μB per atom: 0.80
DOS at the Fermi energy, states/eV/cell: 0.00